A relaxed Pr8OsPd2 crystal, computed with GGA-PBE.

Output
**Energy relative to the elements**: -191 meV per atom
**Energy above the most stable polymorph in this dataset**: 0.065 eV per atom

Cell lengths 7.879, 7.879, 6.521 Å; angles 102.46, 102.46, 113.14 degrees
Atoms (fractional coordinates):
Pr (0.000, 0.000, 0.000)
Pr (0.004, 0.264, 0.547)
Pr (0.154, 0.540, 0.180)
Pr (0.264, 0.004, 0.547)
Pr (0.440, 0.701, 0.791)
Pr (0.540, 0.154, 0.180)
Pr (0.701, 0.440, 0.791)
Pr (0.701, 0.701, 0.371)
Os (0.354, 0.354, 0.391)
Pd (0.043, 0.672, 0.684)
Pd (0.672, 0.043, 0.684)